The following is a DFT calculation (PBE-GGA) of a relaxed HgAsBr3 crystal.

## Properties
Total magnetization ... 0.00 Bohr magnetons per cell
Uncorrected formation energy ... -0.154 eV/atom
Excess energy over the best structure of this formula in the dataset ... 0.91 eV per formula unit

Cell and atoms, written as POSCAR:
```
HgAsBr3
1.0
-4.430 -3.002 -0.226
2.683 -3.754 -2.720
1.366 -2.363 4.609
Br Hg As
3 1 1
Cartesian
1.341 -1.877 -1.360
0.683 -1.182 2.304
-2.215 -1.501 -0.113
-0.191 -4.560 0.831
0.000 0.000 0.000
```

The following is a DFT calculation (PBE-GGA) of a relaxed HgAsBr3 crystal.

## Properties
Total magnetization ... 0.00 Bohr magnetons per cell
Uncorrected formation energy ... -0.326 eV/atom
Excess energy over the best structure of this formula in the dataset ... 0.05 eV per formula unit

Cell and atoms, written as POSCAR:
```
HgAsBr3
1.0
9.420 0.000 -0.265
0.000 9.251 0.000
-0.936 0.000 10.536
Br As Hg
12 4 4
Cartesian
5.027 7.204 5.403
7.511 0.438 6.419
3.457 2.047 4.867
0.973 8.813 3.852
5.215 5.064 8.987
0.785 6.672 0.268
4.298 1.529 9.165
7.699 2.579 10.003
0.056 3.096 4.030
8.428 6.155 6.240
3.269 4.187 1.284
4.186 7.722 1.105
6.377 3.176 -0.077
7.285 7.802 4.947
1.199 1.449 5.323
2.107 6.075 10.348
6.366 0.901 2.515
7.296 5.527 2.355
2.118 8.350 7.755
1.188 3.724 7.916
```